(1)
This record from Alexandria describes crystalline Ac4SnBi3 at its relaxed geometry. The functional is PBE.

## Properties
**ΔH_f (0 K)**: -20.2 kcal/mol of atoms

a b c (Å): 6.8836 6.8836 6.8836
angles (deg): 90.00 90.00 90.00
With the nearest neighbours (Å) after each atom.
Atoms (fractional coordinates):
Ac 0.0000 0.0000 0.5000  2 Sn 3.44, 4 Bi 3.44
Bi 0.0000 0.5000 0.5000  6 Ac 3.44
Sn 0.0000 0.0000 0.0000  6 Ac 3.44
Ac 0.5000 0.0000 0.0000  4 Bi 3.44, 2 Sn 3.44
Ac 0.0000 0.5000 0.0000  4 Bi 3.44, 2 Sn 3.44
Ac 0.5000 0.5000 0.5000  6 Bi 3.44
Bi 0.5000 0.5000 0.0000  6 Ac 3.44
Bi 0.5000 0.0000 0.5000  6 Ac 3.44

***

(2)
This record from Alexandria describes crystalline NaAlAg2 at its relaxed geometry. The functional is PBE.

## Properties
**ΔH_f (0 K)**: 10.2 kcal/mol of atoms

a b c (Å): 6.4334 6.4334 7.6963
angles (deg): 65.29 65.29 90.00
With the nearest neighbours (Å) after each atom.
Atoms (fractional coordinates):
Ag 0.0573 0.6250 0.2500  2 Al 2.52
Ag 0.3750 0.3073 0.7500  2 Al 2.52
Al 0.7500 0.2500 0.5000  4 Ag 2.52
Al 0.0000 0.0000 0.0000  4 Ag 2.52
Ag 0.6927 0.1250 0.2500  2 Al 2.52
Na 0.2500 0.7500 0.5000  4 Ag 3.03
Ag 0.8750 0.9427 0.7500  2 Al 2.52
Na 0.5000 0.5000 0.0000  4 Ag 3.03

***

(3)
This record from Alexandria describes crystalline Er2TmHg5 at its relaxed geometry. The functional is PBE.

## Properties
**ΔH_f (0 K)**: -9.2 kcal/mol of atoms

a b c (Å): 5.1685 5.1685 8.1052
angles (deg): 108.59 108.59 90.00
With the nearest neighbours (Å) after each atom.
Atoms (fractional coordinates):
Hg 0.8752 0.3752 0.7504  4 Er 3.06-3.26, 2 Hg 3.15, 2 Tm 3.15
Hg 0.6248 0.1248 0.2496  4 Er 3.06-3.26, 2 Tm 3.15, 2 Hg 3.15
Hg 0.3752 0.8752 0.7504  4 Er 3.06-3.26, 2 Tm 3.15, 2 Hg 3.15
Hg 0.1248 0.6248 0.2496  4 Er 3.06-3.26, 2 Hg 3.15, 2 Tm 3.15
Er 0.7376 0.7376 0.4753  8 Hg 3.06-3.26
Hg 0.5000 0.5000 0.0000  8 Hg 3.15, 2 Er 3.44
Tm 0.0000 0.0000 0.0000  8 Hg 3.15
Er 0.2624 0.2624 0.5247  8 Hg 3.06-3.26

***

(4)
This record from Alexandria describes crystalline NdPu3Th2N6 at its relaxed geometry. The functional is PBE.

## Properties
**E_form (uncorrected)**: -1.378 eV per atom

a b c (Å): 6.2050 6.2050 6.1628
angles (deg): 99.66 99.66 119.96
With the nearest neighbours (Å) after each atom.
Atoms (fractional coordinates):
Nd 0.0000 0.0000 0.0000  6 N 2.61
Pu 0.8348 0.1652 0.5000  6 N 2.46-2.50
N 0.7486 0.7486 0.2650  3 Pu 2.44-2.48, 2 Th 2.56, 1 Nd 2.61
N 0.5718 0.9119 0.7356  3 Pu 2.46-2.50, 2 Th 2.56, 1 Nd 2.61
Th 0.6669 0.3331 0.0000  6 N 2.56
N 0.4282 0.0881 0.2644  3 Pu 2.46-2.50, 2 Th 2.56, 1 Nd 2.61
Pu 0.5000 0.5000 0.5000  6 N 2.44-2.50
Th 0.3331 0.6669 0.0000  6 N 2.56
N 0.0881 0.4282 0.2644  3 Pu 2.46-2.50, 2 Th 2.56, 1 Nd 2.61
N 0.2514 0.2514 0.7350  3 Pu 2.44-2.48, 2 Th 2.56, 1 Nd 2.61
Pu 0.1652 0.8348 0.5000  6 N 2.46-2.50
N 0.9119 0.5718 0.7356  3 Pu 2.46-2.50, 2 Th 2.56, 1 Nd 2.61

***

(5)
This record from Alexandria describes crystalline UNb2VC4 at its relaxed geometry. The functional is PBE.

## Properties
**ΔH_f (0 K)**: -6.7 kcal/mol of atoms

a b c (Å): 3.2127 5.8160 11.0279
angles (deg): 90.00 90.00 106.03
With the nearest neighbours (Å) after each atom.
Atoms (fractional coordinates):
U 0.1127 0.2255 0.7500  6 C 2.42-2.56
U 0.8873 0.7745 0.2500  6 C 2.42-2.56
C 0.2652 0.5304 0.1188  1 V 1.91, 1 Nb 2.11
Nb 0.6294 0.2588 0.0401  3 C 2.11-2.21
C 0.7348 0.4696 0.8812  1 V 1.91, 1 Nb 2.11
C 0.7348 0.4696 0.6188  1 V 1.91, 1 Nb 2.11
C 0.2652 0.5304 0.3812  1 V 1.91, 1 Nb 2.11
Nb 0.3706 0.7412 0.5401  3 C 2.11-2.21
Nb 0.3706 0.7412 0.9599  3 C 2.11-2.21
C 0.0000 0.0000 0.5000  4 Nb 2.21
C 0.5486 0.0972 0.2500  2 V 1.99
C 0.0000 0.0000 0.0000  4 Nb 2.21
Nb 0.6294 0.2588 0.4599  3 C 2.11-2.21
C 0.4514 0.9028 0.7500  2 V 1.99
V 0.8466 0.6932 0.7500  4 C 1.91-1.99
V 0.1534 0.3068 0.2500  4 C 1.91-1.99

***

(6)
This record from Alexandria describes crystalline LaMg2CuPb at its relaxed geometry. The functional is PBE.

## Properties
**ΔH_f (0 K)**: -3.2 kcal/mol of atoms

a b c (Å): 4.9922 4.9922 5.3826
angles (deg): 90.00 90.00 90.00
With the nearest neighbours (Å) after each atom.
Atoms (fractional coordinates):
Mg 0.5000 0.0000 0.0000  2 Cu 2.50
Mg 0.0000 0.5000 0.0000  2 Cu 2.50
La 0.0000 0.0000 0.5000  2 Cu 2.69
Cu 0.0000 0.0000 0.0000  4 Mg 2.50, 2 La 2.69
Pb 0.5000 0.5000 0.5000  4 La 3.53, 8 Mg 3.67

***

(7)
This record from Alexandria describes crystalline KV2W at its relaxed geometry. The functional is PBE.

## Properties
**Distance to the lowest polymorph of the same formula**: 0.317 eV per atom
**ΔH_f (0 K)**: 42.4 kcal/mol of atoms

a b c (Å): 5.2642 5.2642 8.9408
angles (deg): 72.88 72.88 90.00
With the nearest neighbours (Å) after each atom.
Atoms (fractional coordinates):
V 0.8743 0.1250 0.2500  2 W 2.42, 2 V 2.63
V 0.8750 0.1243 0.7500  2 W 2.42, 2 V 2.63
W 0.7500 0.2500 0.5000  4 V 2.42
K 0.5000 0.5000 0.0000  8 V 3.57-3.58, 4 W 3.72
V 0.8757 0.6250 0.2500  2 W 2.42, 2 V 2.63
W 0.0000 0.0000 0.0000  4 V 2.42
V 0.3750 0.1257 0.7500  2 W 2.42, 2 V 2.63
K 0.2500 0.7500 0.5000  8 V 3.57-3.58, 4 W 3.72

***

(8)
This record from Alexandria describes crystalline Ba3LiAg2 at its relaxed geometry. The functional is PBE.

## Properties
**ΔH_f (0 K)**: -3.5 kcal/mol of atoms

a b c (Å): 6.8010 13.3899 10.8565
angles (deg): 90.00 106.26 90.00
With the nearest neighbours (Å) after each atom.
Atoms (fractional coordinates):
Ag 0.3894 0.0022 0.7213  1 Li 3.01, 1 Ag 3.07
Ba 0.3428 0.7256 0.6896  4 Ag 3.37-3.72
Ba 0.6870 0.4419 0.8901  3 Ag 3.39-3.55, 1 Li 3.75
Ba 0.3130 0.5581 0.1099  3 Ag 3.39-3.55, 1 Li 3.75
Li 0.4131 0.8109 0.3428  2 Ag 2.77-3.01
Ag 0.8894 0.4978 0.2213  1 Li 3.01, 1 Ag 3.07
Ag 0.7181 0.8627 0.8842  1 Li 2.77, 1 Ag 3.07
Li 0.0869 0.3109 0.1572  2 Ag 2.77-3.01
Ba 0.8130 0.9419 0.6099  3 Ag 3.39-3.55, 1 Li 3.75
Ag 0.6106 0.9978 0.2787  1 Li 3.01, 1 Ag 3.07
Ag 0.1106 0.5022 0.7787  1 Li 3.01, 1 Ag 3.07
Li 0.9131 0.6891 0.8428  2 Ag 2.77-3.01
Ba 0.7604 0.5956 0.4954  5 Ag 3.37-3.68
Ba 0.7396 0.0956 0.0046  5 Ag 3.37-3.68
Ag 0.2181 0.6373 0.3842  1 Li 2.77, 1 Ag 3.07
Li 0.5869 0.1891 0.6572  2 Ag 2.77-3.01
Ba 0.8428 0.7744 0.1896  4 Ag 3.37-3.72
Ag 0.2819 0.1373 0.1158  1 Li 2.77, 1 Ag 3.07
Ag 0.7819 0.3627 0.6158  1 Li 2.77, 1 Ag 3.07
Ba 0.2396 0.4044 0.5046  5 Ag 3.37-3.68
Ba 0.6572 0.2744 0.3104  4 Ag 3.37-3.72
Ba 0.1870 0.0581 0.3901  3 Ag 3.39-3.55, 1 Li 3.75
Ba 0.2604 0.9044 0.9954  5 Ag 3.37-3.68
Ba 0.1572 0.2256 0.8104  4 Ag 3.37-3.72

***

(9)
This record from Alexandria describes crystalline Pr2HoZn2 at its relaxed geometry. The functional is PBE.

## Properties
**Distance to the lowest polymorph of the same formula**: 0.000 eV per atom
**ΔH_f (0 K)**: -4.6 kcal/mol of atoms

a b c (Å): 3.5749 3.6790 10.3458
angles (deg): 79.76 90.00 90.00
With the nearest neighbours (Å) after each atom.
Atoms (fractional coordinates):
Zn 0.5000 0.4199 0.1601  4 Ho 3.04, 4 Pr 3.20, 1 Zn 3.26
Pr 0.0000 0.1739 0.6523  4 Zn 3.20, 1 Ho 3.54, 2 Pr 3.57
Zn 0.5000 0.5801 0.8399  4 Ho 3.04, 4 Pr 3.20, 1 Zn 3.26
Pr 0.0000 0.8261 0.3477  4 Zn 3.20, 1 Ho 3.54, 2 Pr 3.57
Ho 0.0000 0.0000 0.0000  8 Zn 3.04

***

(10)
This record from Alexandria describes crystalline Rb2NdGaSe4 at its relaxed geometry. The functional is PBE.

## Properties
**E_form (uncorrected)**: -1.096 eV per atom

a b c (Å): 8.8193 8.8193 8.9919
angles (deg): 118.99 118.99 92.33
With the nearest neighbours (Å) after each atom.
Atoms (fractional coordinates):
Se 0.2018 0.2219 0.0153  1 Ga 2.50
Se 0.7982 0.7781 0.9847  1 Ga 2.50
Nd 0.0000 0.5000 0.5000  6 Se 2.94-3.11
Se 0.2781 0.2982 0.4847  1 Ga 2.50
Rb 0.5000 0.0000 0.0000  6 Se 3.20-3.45
Se 0.7966 0.2616 0.0357  2 Nd 2.94-3.00, 1 Ga 2.97, 1 Rb 3.20
Ga 0.5000 0.5000 0.5000  2 Se 2.50
Rb 0.5000 0.5000 0.0000  6 Se 3.38-3.62
Se 0.7616 0.2966 0.5357  2 Nd 2.94-3.00, 1 Ga 2.97, 1 Rb 3.20
Ga 0.0000 0.0000 0.0000  2 Se 2.50
Rb 0.5000 0.0000 0.5000  6 Se 3.20-3.45
Se 0.7219 0.7018 0.5153  1 Ga 2.50
Se 0.2384 0.7034 0.4643  2 Nd 2.94-3.00, 1 Ga 2.97, 1 Rb 3.20
Se 0.2034 0.7384 0.9643  2 Nd 2.94-3.00, 1 Ga 2.97, 1 Rb 3.20
Nd 0.0000 0.5000 0.0000  6 Se 2.94-3.11
Rb 0.0000 0.0000 0.5000  6 Se 3.38-3.62

***

(11)
This record from Alexandria describes crystalline SrLi3I at its relaxed geometry. The functional is PBE.

## Properties
**E_form (uncorrected)**: -0.168 eV per atom
**Distance to the lowest polymorph of the same formula**: 0.000 eV per atom

a b c (Å): 5.5660 5.5660 5.5660
angles (deg): 90.00 90.00 90.00
With the nearest neighbours (Å) after each atom.
Atoms (fractional coordinates):
Sr 0.5000 0.5000 0.5000  12 Li 3.94
Li 0.5000 0.0000 0.0000  2 I 2.78
Li 0.0000 0.0000 0.5000  2 I 2.78
I 0.0000 0.0000 0.0000  6 Li 2.78
Li 0.0000 0.5000 0.0000  2 I 2.78

***

(12)
This record from Alexandria describes crystalline Tm3HgBi2 at its relaxed geometry. The functional is PBE.

## Properties
**ΔH_f (0 K)**: -12.1 kcal/mol of atoms

a b c (Å): 4.7736 6.2694 7.1443
angles (deg): 116.03 109.52 90.00
With the nearest neighbours (Å) after each atom.
Atoms (fractional coordinates):
Tm 0.0000 0.0000 0.0000  2 Hg 3.13, 4 Bi 3.16
Bi 0.6741 0.1741 0.3482  6 Tm 3.12-3.16
Tm 0.6571 0.6571 0.3142  2 Hg 3.03, 4 Bi 3.12-3.14
Tm 0.3429 0.3429 0.6858  2 Hg 3.03, 4 Bi 3.12-3.14
Bi 0.3259 0.8259 0.6518  6 Tm 3.12-3.16
Hg 0.0000 0.5000 0.0000  6 Tm 3.03-3.13

***

Calculated total magnetic moment, 0.000; 0.000; 0.000; 14.804; 2.643; 0.000; 4.571; 0.000; 0.009; 0.000; 0.000; 0.000 μB per cell (same order as the records).